{
  "formula": "Na4AgGe2Au",
  "functional": "PBE-GGA",
  "state": "optimized geometry",
  "vol_a3_per_fu": 161.6,
  "crystal_system": "tetragonal",
  "spacegroup": "P-4m2 (115)",
  "total_energy_ev_per_atom": -2.678,
  "lattice_angstrom": [[4.8560, 0.0000, 0.0000], [0.0000, 4.8560, 0.0000], [0.0000, 0.0000, 6.8534]],
  "species": ["Na", "Na", "Na", "Na", "Ag", "Ge", "Ge", "Au"],
  "fractional_positions": [[0.0000, 0.0000, 0.0000], [0.0000, 0.5000, 0.7486], [0.5000, 0.0000, 0.2514], [0.5000, 0.5000, 0.5000], [0.5000, 0.5000, 0.0000], [0.0000, 0.5000, 0.2541], [0.5000, 0.0000, 0.7459], [0.0000, 0.0000, 0.5000]]
}



{
  "formula": "NdAgGe2Au",
  "functional": "PBE-GGA",
  "state": "optimized geometry",
  "vol_a3_per_fu": 103.1,
  "crystal_system": "tetragonal",
  "spacegroup": "I-4m2 (119)",
  "total_energy_ev_per_atom": -4.518,
  "lattice_angstrom": [[-2.1687, 2.1687, 5.4815], [2.1687, -2.1687, 5.4815], [2.1687, 2.1687, -5.4815]],
  "species": ["Nd", "Ag", "Ge", "Ge", "Au"],
  "fractional_positions": [[0.0000, 0.0000, 0.0000], [0.2500, 0.7500, 0.5000], [0.3882, 0.3882, 0.0000], [0.6118, 0.6118, 0.0000], [0.7500, 0.2500, 0.5000]]
}



{
  "formula": "AgGeAuS3",
  "functional": "PBE-GGA",
  "state": "optimized geometry",
  "vol_a3_per_fu": 142.3,
  "crystal_system": "orthorhombic",
  "spacegroup": "Cmcm (63)",
  "total_energy_ev_per_atom": -3.860,
  "lattice_angstrom": [[1.7494, -6.8100, 0.0000], [1.7494, 6.8100, 0.0000], [0.0000, 0.0000, 11.9482]],
  "species": ["Ag", "Ag", "Ge", "Ge", "Au", "Au", "S", "S", "S", "S", "S", "S"],
  "fractional_positions": [[0.1132, 0.8868, 0.7500], [0.8868, 0.1132, 0.2500], [0.2069, 0.7931, 0.2500], [0.7931, 0.2069, 0.7500], [0.5000, 0.5000, 0.0000], [0.5000, 0.5000, 0.5000], [0.1132, 0.8868, 0.5430], [0.1132, 0.8868, 0.9570], [0.4042, 0.5958, 0.7500], [0.5958, 0.4042, 0.2500], [0.8868, 0.1132, 0.0430], [0.8868, 0.1132, 0.4570]]
}



{
  "formula": "Y2AgGe2Au",
  "functional": "PBE-GGA",
  "state": "optimized geometry",
  "vol_a3_per_fu": 139.9,
  "crystal_system": "monoclinic",
  "spacegroup": "Pm (6)",
  "total_energy_ev_per_atom": -5.311,
  "lattice_angstrom": [[8.0125, 0.0000, 0.0000], [0.0000, 4.6242, 0.0000], [-2.6646, 0.0000, 15.1059]],
  "species": ["Y", "Y", "Y", "Y", "Y", "Y", "Y", "Y", "Ag", "Ag", "Ag", "Ag", "Ge", "Ge", "Ge", "Ge", "Ge", "Ge", "Ge", "Ge", "Au", "Au", "Au", "Au"],
  "fractional_positions": [[0.0000, 0.0000, 0.0000], [0.0012, 0.5000, 0.5002], [0.2495, 0.0000, 0.7493], [0.2507, 0.5000, 0.2498], [0.4990, 0.0000, 0.4992], [0.5005, 0.5000, 0.9999], [0.7495, 0.0000, 0.2494], [0.7508, 0.5000, 0.7498], [0.0627, 0.0000, 0.1875], [0.5626, 0.0000, 0.6872], [0.5626, 0.5000, 0.1872], [0.8128, 0.0000, 0.4372], [0.1235, 0.0000, 0.3740], [0.1254, 0.5000, 0.8747], [0.3754, 0.0000, 0.1256], [0.3767, 0.5000, 0.6251], [0.6247, 0.0000, 0.8740], [0.6265, 0.5000, 0.3744], [0.8736, 0.0000, 0.6242], [0.8756, 0.5000, 0.1259], [0.0627, 0.5000, 0.6876], [0.3122, 0.0000, 0.9368], [0.3122, 0.5000, 0.4371], [0.8129, 0.5000, 0.9369]]
}



{
  "formula": "AgH4Au",
  "functional": "PBE-GGA",
  "state": "optimized geometry",
  "vol_a3_per_fu": 73.2,
  "crystal_system": "monoclinic",
  "spacegroup": "C2/c (15)",
  "total_energy_ev_per_atom": -3.001,
  "lattice_angstrom": [[5.0102, -1.6012, 0.0000], [5.0102, 1.6012, 0.0000], [-4.2379, 0.0000, 9.1189]],
  "species": ["Ag", "Ag", "H", "H", "H", "H", "H", "H", "H", "H", "Au", "Au"],
  "fractional_positions": [[0.1692, 0.8308, 0.7500], [0.8308, 0.1692, 0.2500], [0.1076, 0.3274, 0.3279], [0.2177, 0.6413, 0.5368], [0.3274, 0.1076, 0.8279], [0.3587, 0.7823, 0.9632], [0.6413, 0.2177, 0.0368], [0.6726, 0.8924, 0.1721], [0.7823, 0.3587, 0.4632], [0.8924, 0.6726, 0.6721], [0.0000, 0.5000, 0.5000], [0.5000, 0.0000, 0.0000]]
}



{
  "formula": "AgH6PtAu",
  "functional": "PBE-GGA",
  "state": "optimized geometry",
  "vol_a3_per_fu": 83.7,
  "crystal_system": "cubic",
  "spacegroup": "F-43m (216)",
  "total_energy_ev_per_atom": -3.364,
  "lattice_angstrom": [[0.0000, 3.4725, 3.4725], [3.4725, 0.0000, 3.4725], [3.4725, 3.4725, 0.0000]],
  "species": ["Ag", "H", "H", "H", "H", "H", "H", "Pt", "Au"],
  "fractional_positions": [[0.0000, 0.0000, 0.0000], [0.5084, 0.5084, 0.9916], [0.5084, 0.9916, 0.5084], [0.5084, 0.9916, 0.9916], [0.9916, 0.5084, 0.5084], [0.9916, 0.5084, 0.9916], [0.9916, 0.9916, 0.5084], [0.7500, 0.7500, 0.7500], [0.5000, 0.5000, 0.5000]]
}



{
  "formula": "Sr2AgH6Au",
  "functional": "PBE-GGA",
  "state": "optimized geometry",
  "vol_a3_per_fu": 122.6,
  "crystal_system": "cubic",
  "spacegroup": "Fm-3m (225)",
  "total_energy_ev_per_atom": -3.208,
  "lattice_angstrom": [[0.0000, 3.9431, 3.9431], [3.9431, 0.0000, 3.9431], [3.9431, 3.9431, 0.0000]],
  "species": ["Sr", "Sr", "Ag", "H", "H", "H", "H", "H", "H", "Au"],
  "fractional_positions": [[0.2500, 0.2500, 0.2500], [0.7500, 0.7500, 0.7500], [0.0000, 0.0000, 0.0000], [0.2516, 0.2516, 0.7484], [0.2516, 0.7484, 0.2516], [0.2516, 0.7484, 0.7484], [0.7484, 0.2516, 0.2516], [0.7484, 0.2516, 0.7484], [0.7484, 0.7484, 0.2516], [0.5000, 0.5000, 0.5000]]
}



{
  "formula": "HfAgAu2",
  "functional": "PBE-GGA",
  "state": "optimized geometry",
  "vol_a3_per_fu": 73.0,
  "crystal_system": "cubic",
  "spacegroup": "F-43m (216)",
  "formation_energy_ev_per_atom": -0.259,
  "lattice_angstrom": [[0.0000, 3.3164, 3.3164], [3.3164, 0.0000, 3.3164], [3.3164, 3.3164, 0.0000]],
  "species": ["Hf", "Ag", "Au", "Au"],
  "fractional_positions": [[0.0000, 0.0000, 0.0000], [0.2500, 0.2500, 0.2500], [0.5000, 0.5000, 0.5000], [0.7500, 0.7500, 0.7500]]
}



Please write out number 8 again, unchanged.
{
  "formula": "HfAgAu2",
  "functional": "PBE-GGA",
  "state": "optimized geometry",
  "vol_a3_per_fu": 73.0,
  "crystal_system": "cubic",
  "spacegroup": "F-43m (216)",
  "formation_energy_ev_per_atom": -0.259,
  "lattice_angstrom": [[0.0000, 3.3164, 3.3164], [3.3164, 0.0000, 3.3164], [3.3164, 3.3164, 0.0000]],
  "species": ["Hf", "Ag", "Au", "Au"],
  "fractional_positions": [[0.0000, 0.0000, 0.0000], [0.2500, 0.2500, 0.2500], [0.5000, 0.5000, 0.5000], [0.7500, 0.7500, 0.7500]]
}